The following is a PBE+U calculation of an optimized crystal structure of Zr2MoPbO8, from Alexandria via LeMat-Bulk.

- space-group type = P2/m, No. 10
- total DFT energy (no corrections) (eV/atom) = -7.9067

Cell and atoms, written as POSCAR:
```
Zr2MoPbO8
1.0
4.964 0.000 0.000
0.000 6.768 0.000
-0.141 0.000 4.967
Zr Mo Pb O
2 1 1 8
direct
0.000 0.248 0.000 Zr
0.000 0.752 0.000 Zr
0.500 0.500 0.500 Mo
0.500 0.000 0.500 Pb
0.173 0.000 0.829 O
0.215 0.500 0.785 O
0.301 0.298 0.302 O
0.301 0.702 0.302 O
0.699 0.298 0.698 O
0.699 0.702 0.698 O
0.785 0.500 0.215 O
0.827 0.000 0.171 O
```